[1]
Here is an optimized crystal structure of Mg8InSn6 from Alexandria. Energies are from PBE.

Results
M_tot = 0.00 μB/f.u.
Formation energy = -0.019 eV per atom

Lattice parameters (Å, degrees): 8.4381 8.4381 8.1298 58.74 58.74 60.00
Last column: nearest neighbours and their distance in Å.
Fractional coordinates of all 15 atoms:
Mg (0.8820, 0.5731, 0.3351)  4 Sn 2.93-2.96
Mg (0.1180, 0.4269, 0.6649)  4 Sn 2.93-2.96
Mg (0.7901, 0.1180, 0.6649)  4 Sn 2.93-2.96
Mg (0.6637, 0.6637, 0.0088)  6 Sn 3.06-3.09
Mg (0.3363, 0.3363, 0.9912)  6 Sn 3.06-3.09
Mg (0.2099, 0.8820, 0.3351)  4 Sn 2.93-2.96
Mg (0.5731, 0.2099, 0.3351)  4 Sn 2.93-2.96
Mg (0.4269, 0.7901, 0.6649)  4 Sn 2.93-2.96
Sn (0.0635, 0.7253, 0.7904)  6 Mg 2.93-3.09, 1 In 3.24
Sn (0.7253, 0.4208, 0.7904)  6 Mg 2.93-3.09, 1 In 3.24
Sn (0.4208, 0.0635, 0.7904)  6 Mg 2.93-3.09, 1 In 3.24
Sn (0.9365, 0.2747, 0.2096)  6 Mg 2.93-3.09, 1 In 3.24
Sn (0.5792, 0.9365, 0.2096)  6 Mg 2.93-3.09, 1 In 3.24
Sn (0.2747, 0.5792, 0.2096)  6 Mg 2.93-3.09, 1 In 3.24
In (0.0000, 0.0000, 0.0000)  6 Sn 3.24, 6 Mg 3.46

***

[2]
Here is an optimized crystal structure of Sr2MgIn6Sn from Alexandria. Energies are from PBE.

Results
M_tot = 0.00 μB/f.u.
Formation energy = -0.222 eV per atom

Lattice parameters (Å, degrees): 7.5913 7.7387 7.7399 46.13 91.90 109.07
Last column: nearest neighbours and their distance in Å.
Fractional coordinates of all 10 atoms:
In (0.4397, 0.2524, 0.8184)  1 Mg 3.00, 1 Sn 3.03, 4 In 3.21-3.32
In (0.1860, 0.6817, 0.9928)  5 In 3.02-3.37, 1 Mg 3.12, 1 Sn 3.24
In (0.8140, 0.3183, 0.0072)  5 In 3.02-3.37, 1 Mg 3.12, 1 Sn 3.24
In (0.1980, 0.1854, 0.4900)  5 In 3.02-3.33, 1 Mg 3.11, 1 Sn 3.32
In (0.5603, 0.7476, 0.1816)  1 Mg 3.00, 1 Sn 3.03, 4 In 3.21-3.32
In (0.8020, 0.8146, 0.5100)  5 In 3.02-3.33, 1 Mg 3.11, 1 Sn 3.32
Mg (0.5000, 0.5000, 0.0000)  6 In 3.00-3.12
Sr (0.2483, 0.7413, 0.4930)  7 In 3.40-3.63, 2 Sn 3.68-3.75, 1 Mg 3.77
Sr (0.7517, 0.2587, 0.5070)  7 In 3.40-3.63, 2 Sn 3.68-3.75, 1 Mg 3.77
Sn (0.0000, 0.0000, 0.0000)  6 In 3.03-3.32

***

[3]
Here is an optimized crystal structure of Sr2MgIn3Sn4 from Alexandria. Energies are from PBE.

Results
M_tot = 0.00 μB/f.u.
Formation energy = -0.267 eV per atom

Lattice parameters (Å, degrees): 5.0339 5.0339 12.2479 90.00 90.00 90.00
Last column: nearest neighbours and their distance in Å.
Fractional coordinates of all 10 atoms:
Sr (0.5000, 0.0000, 0.2470)  6 In 3.82-3.99, 8 Sn 3.86-3.94, 2 Mg 3.99
Sr (0.0000, 0.5000, 0.7530)  6 In 3.82-3.99, 8 Sn 3.86-3.94, 2 Mg 3.99
Mg (0.5000, 0.5000, 0.5000)  4 Sn 2.99
Sn (0.0000, 0.0000, 0.0000)  4 In 3.00
Sn (0.5000, 0.0000, 0.6321)  3 In 2.87-2.99, 2 Mg 2.99
Sn (0.0000, 0.5000, 0.3679)  3 In 2.87-2.99, 2 Mg 2.99
Sn (0.5000, 0.5000, 0.0000)  4 In 3.00
In (0.0000, 0.5000, 0.1335)  5 Sn 2.87-3.00
In (0.0000, 0.0000, 0.5000)  4 Sn 2.99
In (0.5000, 0.0000, 0.8665)  5 Sn 2.87-3.00

***

[4]
Here is an optimized crystal structure of Sr2Mg3InSn4 from Alexandria. Energies are from PBE.

Results
M_tot = 0.00 μB/f.u.
Formation energy = -0.367 eV per atom

Lattice parameters (Å, degrees): 4.9147 4.9147 12.0361 90.00 90.00 90.00
Last column: nearest neighbours and their distance in Å.
Fractional coordinates of all 10 atoms:
Sn (0.0000, 0.5000, 0.3608)  3 Mg 2.77-2.97, 2 In 2.97
Sn (0.0000, 0.0000, 0.0000)  4 Mg 2.92
Sn (0.5000, 0.0000, 0.6392)  3 Mg 2.77-2.97, 2 In 2.97
Sn (0.5000, 0.5000, 0.0000)  4 Mg 2.92
Sr (0.5000, 0.0000, 0.2424)  6 Mg 3.73-3.96, 8 Sn 3.76-3.81, 2 In 3.96
Sr (0.0000, 0.5000, 0.7576)  6 Mg 3.73-3.96, 8 Sn 3.76-3.81, 2 In 3.96
Mg (0.0000, 0.0000, 0.5000)  4 Sn 2.97
Mg (0.0000, 0.5000, 0.1307)  5 Sn 2.77-2.92
Mg (0.5000, 0.0000, 0.8693)  5 Sn 2.77-2.92
In (0.5000, 0.5000, 0.5000)  4 Sn 2.97

***

[5]
Here is an optimized crystal structure of Sr2Mg4InSn3 from Alexandria. Energies are from PBE.

Results
M_tot = 0.00 μB/f.u.
Formation energy = -0.400 eV per atom

Lattice parameters (Å, degrees): 4.7820 4.7820 12.3643 90.00 90.00 90.00
Last column: nearest neighbours and their distance in Å.
Fractional coordinates of all 10 atoms:
Mg (0.5000, 0.5000, 0.0000)  4 Sn 2.94
Mg (0.5000, 0.0000, 0.6360)  3 Sn 2.79-2.92, 2 In 2.92
Mg (0.0000, 0.5000, 0.3640)  3 Sn 2.79-2.92, 2 In 2.92
Mg (0.0000, 0.0000, 0.0000)  4 Sn 2.94
Sn (0.0000, 0.5000, 0.1384)  5 Mg 2.79-2.94
Sn (0.0000, 0.0000, 0.5000)  4 Mg 2.92
Sn (0.5000, 0.0000, 0.8616)  5 Mg 2.79-2.94
Sr (0.0000, 0.5000, 0.7478)  8 Mg 3.65-3.93, 6 Sn 3.66-3.89, 2 In 3.89
Sr (0.5000, 0.0000, 0.2522)  8 Mg 3.65-3.93, 6 Sn 3.66-3.89, 2 In 3.89
In (0.5000, 0.5000, 0.5000)  4 Mg 2.92

***

[6]
Here is an optimized crystal structure of TbMgInSn from Alexandria. Energies are from PBE.

Results
M_tot = 0.00 μB/f.u.
Distance to the lowest polymorph of the same formula = 0.190 eV/atom
Formation energy = -0.276 eV per atom

Lattice parameters (Å, degrees): 5.2500 5.2500 5.2500 60.00 60.00 60.00
Last column: nearest neighbours and their distance in Å.
Fractional coordinates of all 4 atoms:
In (0.7500, 0.7500, 0.7500)  4 Mg 3.21, 4 Tb 3.21
Sn (0.2500, 0.2500, 0.2500)  4 Mg 3.21, 4 Tb 3.21
Mg (0.5000, 0.5000, 0.5000)  4 In 3.21, 4 Sn 3.21
Tb (0.0000, 0.0000, 0.0000)  4 In 3.21, 4 Sn 3.21

***

[7]
Here is an optimized crystal structure of TbMgInSn from Alexandria. Energies are from PBE.

Results
M_tot = 0.00 μB/f.u.
Distance to the lowest polymorph of the same formula = 0.000 eV/atom
Formation energy = -0.466 eV per atom

Lattice parameters (Å, degrees): 4.4664 4.6205 4.7653 90.00 90.00 90.00
Last column: nearest neighbours and their distance in Å.
Fractional coordinates of all 4 atoms:
In (0.5000, 0.5000, 0.0000)  4 Mg 3.21, 4 Tb 3.27, 4 Sn 3.32
Mg (0.0000, 0.0000, 0.0000)  4 In 3.21, 4 Sn 3.27, 4 Tb 3.32
Sn (0.5000, 0.0000, 0.5000)  4 Tb 3.21, 4 Mg 3.27, 4 In 3.32
Tb (0.0000, 0.5000, 0.5000)  4 Sn 3.21, 4 In 3.27, 4 Mg 3.32

***

[8]
Here is an optimized crystal structure of ThMgInSn from Alexandria. Energies are from PBE.

Results
M_tot = 0.00 μB/f.u.
Distance to the lowest polymorph of the same formula = 0.185 eV/atom
Formation energy = -0.188 eV per atom

Lattice parameters (Å, degrees): 5.3216 5.3216 5.3216 60.00 60.00 60.00
Last column: nearest neighbours and their distance in Å.
Fractional coordinates of all 4 atoms:
In (0.0000, 0.0000, 0.0000)  4 Th 3.26, 4 Mg 3.26
Th (0.7500, 0.7500, 0.7500)  4 In 3.26, 4 Sn 3.26
Sn (0.5000, 0.5000, 0.5000)  4 Mg 3.26, 4 Th 3.26
Mg (0.2500, 0.2500, 0.2500)  4 In 3.26, 4 Sn 3.26

***

[9]
Here is an optimized crystal structure of ThMgInSn from Alexandria. Energies are from PBE.

Results
M_tot = 0.00 μB/f.u.
Distance to the lowest polymorph of the same formula = 0.000 eV/atom
Formation energy = -0.373 eV per atom

Lattice parameters (Å, degrees): 4.5350 4.7546 4.8737 90.00 90.00 90.00
Last column: nearest neighbours and their distance in Å.
Fractional coordinates of all 4 atoms:
Th (0.5000, 0.0000, 0.5000)  4 Sn 3.29, 4 In 3.33, 4 Mg 3.40
Mg (0.5000, 0.5000, 0.0000)  4 In 3.29, 4 Sn 3.33, 4 Th 3.40
Sn (0.0000, 0.5000, 0.5000)  4 Th 3.29, 4 Mg 3.33, 4 In 3.40
In (0.0000, 0.0000, 0.0000)  4 Mg 3.29, 4 Th 3.33, 4 Sn 3.40

***

[10]
Here is an optimized crystal structure of MgTl2InSn2 from Alexandria. Energies are from PBE.

Results
M_tot = 0.00 μB/f.u.
Formation energy = -0.008 eV per atom

Lattice parameters (Å, degrees): 6.4769 6.5809 9.4145 110.46 110.12 90.00
Last column: nearest neighbours and their distance in Å.
Fractional coordinates of all 12 atoms:
Sn (0.8625, 0.1225, 0.2451)  2 Mg 3.03, 2 In 3.10, 3 Tl 3.26-3.37
Sn (0.1375, 0.8775, 0.7549)  2 Mg 3.03, 2 In 3.10, 3 Tl 3.26-3.37
Sn (0.6175, 0.3775, 0.7549)  2 Mg 3.03, 2 In 3.10, 3 Tl 3.26-3.37
Sn (0.3825, 0.6225, 0.2451)  2 Mg 3.03, 2 In 3.10, 3 Tl 3.26-3.37
Tl (0.0613, 0.3213, 0.6426)  5 Sn 3.26-3.42
Tl (0.5812, 0.8213, 0.6426)  5 Sn 3.26-3.42
Tl (0.9387, 0.6787, 0.3574)  5 Sn 3.26-3.42
Tl (0.4188, 0.1787, 0.3574)  5 Sn 3.26-3.42
Mg (0.5000, 0.2500, 0.0000)  4 Sn 3.03, 2 In 3.24, 2 Mg 3.29
Mg (0.5000, 0.7500, 0.0000)  4 Sn 3.03, 2 In 3.24, 2 Mg 3.29
In (0.0000, 0.2500, 0.0000)  4 Sn 3.10, 2 Mg 3.24, 2 In 3.29
In (0.0000, 0.7500, 0.0000)  4 Sn 3.10, 2 Mg 3.24, 2 In 3.29

***

[11]
Here is an optimized crystal structure of MgTlIn2Sn from Alexandria. Energies are from PBE.

Results
M_tot = 0.00 μB/f.u.
Formation energy = 0.019 eV per atom

Lattice parameters (Å, degrees): 6.9123 6.2850 6.5449 90.00 90.00 90.00
Last column: nearest neighbours and their distance in Å.
Fractional coordinates of all 10 atoms:
In (0.6944, 0.2500, 0.7268)  1 Mg 2.92, 1 In 2.97, 2 Sn 3.18
In (0.3056, 0.7500, 0.7268)  1 Mg 2.92, 1 In 2.97, 2 Sn 3.18
In (0.3056, 0.7500, 0.2732)  1 Mg 2.92, 1 In 2.97, 2 Sn 3.18
In (0.6944, 0.2500, 0.2732)  1 Mg 2.92, 1 In 2.97, 2 Sn 3.18
Tl (0.1700, 0.2500, 0.5000)  2 Mg 3.53, 8 In 3.60-3.92, 4 Sn 3.82, 2 Tl 3.92
Tl (0.8300, 0.7500, 0.5000)  2 Mg 3.53, 8 In 3.60-3.92, 4 Sn 3.82, 2 Tl 3.92
Sn (0.0000, 0.0000, 0.0000)  2 Mg 2.95, 2 Sn 3.14, 4 In 3.18
Sn (0.0000, 0.5000, 0.0000)  2 Mg 2.95, 2 Sn 3.14, 4 In 3.18
Mg (0.6394, 0.7500, 0.0000)  2 In 2.92, 2 Sn 2.95
Mg (0.3606, 0.2500, 0.0000)  2 In 2.92, 2 Sn 2.95

***

[12]
Here is an optimized crystal structure of YMgInSn from Alexandria. Energies are from PBE.

Results
M_tot = 0.00 μB/f.u.
Formation energy = -0.467 eV per atom

Lattice parameters (Å, degrees): 4.4593 4.6202 4.7657 90.00 90.00 90.00
Last column: nearest neighbours and their distance in Å.
Fractional coordinates of all 4 atoms:
In (0.5000, 0.0000, 0.5000)  4 Mg 3.21, 4 Y 3.26, 4 Sn 3.32
Mg (0.0000, 0.5000, 0.5000)  4 In 3.21, 4 Sn 3.26, 4 Y 3.32
Sn (0.5000, 0.5000, 0.0000)  4 Y 3.21, 4 Mg 3.26, 4 In 3.32
Y (0.0000, 0.0000, 0.0000)  4 Sn 3.21, 4 In 3.26, 4 Mg 3.32